Entry 1:
The following is a PBE+U calculation of a relaxed structure of MnCrOF2, from Alexandria.

Unit cell a=4.0596 b=4.0596 c=3.9791 alpha=90.00 beta=90.00 gamma=90.00
Space group P4/mmm (No. 123)
Inequivalent atoms, fractional coordinates:
Mn (0.0000, 0.0000, 0.0000) [1 per cell]
Cr (0.5000, 0.5000, 0.5000) [1 per cell]
O (0.0000, 0.0000, 0.5000) [1 per cell]
F (0.0000, 0.5000, 0.0000) [2 per cell]

- E above lowest polymorph (kJ per mole of atoms) = 3.34
- crystal system = tetragonal
- size of the total moment (Bohr magnetons per cell) = 9.000

Entry 2:
The following is a PBE+U calculation of a relaxed structure of Mn2CrPbF8, from Alexandria.

Unit cell a=5.1649 b=6.9063 c=5.2184 alpha=90.00 beta=92.33 gamma=90.00
Space group P2/m (No. 10)
Inequivalent atoms, fractional coordinates:
Mn (0.0000, 0.2366, 0.0000) [2 per cell]
Cr (0.5000, 0.0000, 0.5000) [1 per cell]
Pb (0.5000, 0.5000, 0.5000) [1 per cell]
F (0.1695, 0.5000, 0.8277) [2 per cell]
F (0.1856, 0.0000, 0.8154) [2 per cell]
F (0.2996, 0.2147, 0.2986) [4 per cell]

- final energy (eV/atom) = -5.97
- crystal system = monoclinic
- size of the total moment (Bohr magnetons per cell) = 14.000

Entry 3:
The following is a PBE+U calculation of a relaxed structure of MnCrPbF6, from Alexandria.

Unit cell a=5.6455 b=5.6455 c=10.4792 alpha=90.00 beta=90.00 gamma=120.00
Space group P-31c (No. 163)
Inequivalent atoms, fractional coordinates:
Mn (0.3333, 0.6667, 0.2500) [2 per cell]
Cr (0.3333, 0.6667, 0.7500) [2 per cell]
Pb (0.0000, 0.0000, 0.0000) [2 per cell]
F (0.0035, 0.3600, 0.6421) [12 per cell]

- final energy (eV/atom) = -5.78
- crystal system = trigonal
- size of the total moment (Bohr magnetons per cell) = 18.000

Entry 4:
The following is a PBE+U calculation of a relaxed structure of Rb3Mn2CrF9, from Alexandria.

Unit cell a=6.0797 b=6.0797 c=7.4464 alpha=90.00 beta=90.00 gamma=120.00
Space group P-3m1 (No. 164)
Inequivalent atoms, fractional coordinates:
Rb (0.0000, 0.0000, 0.0000) [1 per cell]
Rb (0.3333, 0.6667, 0.6661) [2 per cell]
Mn (0.3333, 0.6667, 0.1673) [2 per cell]
Cr (0.0000, 0.0000, 0.5000) [1 per cell]
F (0.0000, 0.5000, 0.0000) [3 per cell]
F (0.1665, 0.3330, 0.3340) [6 per cell]

- final energy (eV/atom) = -5.51
- crystal system = trigonal
- size of the total moment (Bohr magnetons per cell) = 14.000

Entry 5:
The following is a PBE+U calculation of a relaxed structure of RbMn2CrF8, from Alexandria.

Unit cell a=5.2260 b=5.2297 c=7.4555 alpha=79.96 beta=79.76 gamma=78.63
Space group P-1 (No. 2)
Inequivalent atoms, fractional coordinates:
Rb (0.0000, 0.0000, 0.0000) [1 per cell]
Mn (0.4517, 0.4523, 0.2336) [2 per cell]
Cr (0.0000, 0.0000, 0.5000) [1 per cell]
F (0.1995, 0.7753, 0.6872) [2 per cell]
F (0.2282, 0.8046, 0.3109) [2 per cell]
F (0.2432, 0.2484, 0.4560) [2 per cell]
F (0.3386, 0.3453, 0.0026) [2 per cell]

- final energy (eV/atom) = -5.89
- crystal system = triclinic
- size of the total moment (Bohr magnetons per cell) = 13.000

Entry 6:
The following is a PBE+U calculation of a relaxed structure of Rb2MnCrF6, from Alexandria.

Unit cell a=5.9715 b=5.9715 c=9.0252 alpha=90.00 beta=90.00 gamma=90.00
Space group I4/mmm (No. 139)
Inequivalent atoms, fractional coordinates:
Rb (0.0000, 0.5000, 0.2500) [4 per cell]
Mn (0.0000, 0.0000, 0.0000) [2 per cell]
Cr (0.0000, 0.0000, 0.5000) [2 per cell]
F (0.0000, 0.0000, 0.2326) [4 per cell]
F (0.2424, 0.2424, 0.5000) [8 per cell]

- final energy (eV/atom) = -5.54
- crystal system = tetragonal
- size of the total moment (Bohr magnetons per cell) = 18.000

Entry 7:
The following is a PBE+U calculation of a relaxed structure of MnCrRh2F, from Alexandria.

Unit cell a=4.5992 b=4.5992 c=3.7952 alpha=90.00 beta=90.00 gamma=90.00
Space group P4/mmm (No. 123)
Inequivalent atoms, fractional coordinates:
Mn (0.0000, 0.0000, 0.0000) [1 per cell]
Cr (0.5000, 0.5000, 0.0000) [1 per cell]
Rh (0.0000, 0.5000, 0.5000) [2 per cell]
F (0.5000, 0.5000, 0.5000) [1 per cell]

- final energy (eV/atom) = -6.12
- crystal system = tetragonal
- size of the total moment (Bohr magnetons per cell) = 9.579

Entry 8:
The following is a PBE+U calculation of a relaxed structure of Mn2CrTcF, from Alexandria.

Unit cell a=5.3241 b=5.3241 c=3.6533 alpha=90.00 beta=90.00 gamma=90.00
Space group P4/mmm (No. 123)
Inequivalent atoms, fractional coordinates:
Mn (0.0000, 0.5000, 0.0000) [2 per cell]
Cr (0.0000, 0.0000, 0.0000) [1 per cell]
Tc (0.5000, 0.5000, 0.5000) [1 per cell]
F (0.0000, 0.0000, 0.5000) [1 per cell]

- final energy (eV/atom) = -6.18
- crystal system = tetragonal
- size of the total moment (Bohr magnetons per cell) = 11.515

Entry 9:
The following is a PBE+U calculation of a relaxed structure of MnTlCrF6, from Alexandria.

Unit cell a=5.5536 b=5.5536 c=11.9539 alpha=90.00 beta=90.00 gamma=120.00
Space group P-31c (No. 163)
Inequivalent atoms, fractional coordinates:
Mn (0.3333, 0.6667, 0.2500) [2 per cell]
Tl (0.0000, 0.0000, 0.0000) [2 per cell]
Cr (0.3333, 0.6667, 0.7500) [2 per cell]
F (0.0266, 0.3893, 0.6589) [12 per cell]

- final energy (eV/atom) = -5.73
- crystal system = trigonal
- size of the total moment (Bohr magnetons per cell) = 16.000

Entry 10:
The following is a PBE+U calculation of a relaxed structure of MnZnCr2F8, from Alexandria.

Unit cell a=4.8523 b=4.8580 c=6.7723 alpha=87.17 beta=87.15 gamma=88.65
Space group P-1 (No. 2)
Inequivalent atoms, fractional coordinates:
Mn (0.0000, 0.0000, 0.0000) [1 per cell]
Zn (0.0000, 0.0000, 0.5000) [1 per cell]
Cr (0.4963, 0.4963, 0.2541) [2 per cell]
F (0.1974, 0.8039, 0.7434) [2 per cell]
F (0.1977, 0.8041, 0.2565) [2 per cell]
F (0.2907, 0.2924, 0.4830) [2 per cell]
F (0.3016, 0.3034, 0.9782) [2 per cell]

- final energy (eV/atom) = -5.76
- crystal system = triclinic
- size of the total moment (Bohr magnetons per cell) = 13.000

Entry 11:
The following is a PBE+U calculation of a relaxed structure of MnZnCrF6, from Alexandria.

Unit cell a=5.4202 b=5.4202 c=9.0211 alpha=90.00 beta=90.00 gamma=120.00
Space group P-31c (No. 163)
Inequivalent atoms, fractional coordinates:
Mn (0.3333, 0.6667, 0.2500) [2 per cell]
Zn (0.0000, 0.0000, 0.0000) [2 per cell]
Cr (0.3333, 0.6667, 0.7500) [2 per cell]
F (0.0029, 0.3268, 0.6267) [12 per cell]

- final energy (eV/atom) = -5.44
- crystal system = trigonal
- size of the total moment (Bohr magnetons per cell) = 18.000

Entry 12:
The following is a PBE+U calculation of a relaxed structure of MnZn2CrF8, from Alexandria.

Unit cell a=6.8420 b=6.8420 c=7.0815 alpha=90.00 beta=90.00 gamma=90.00
Space group I-4m2 (No. 119)
Inequivalent atoms, fractional coordinates:
Mn (0.0000, 0.0000, 0.0000) [2 per cell]
Zn (0.0000, 0.0000, 0.5000) [2 per cell]
Zn (0.0000, 0.5000, 0.2500) [2 per cell]
Cr (0.0000, 0.5000, 0.7500) [2 per cell]
F (0.0000, 0.1994, 0.6956) [8 per cell]
F (0.0000, 0.2996, 0.0605) [8 per cell]

- final energy (eV/atom) = -5.09
- crystal system = tetragonal
- size of the total moment (Bohr magnetons per cell) = 18.000